Entry 1:
La3TlO | PBE | optimized geometry

Output
Fermi-level density of states in states/eV/cell: 49.84
Uncorrected energy in eV/f.u.: -28.3

```
data_La3TlO
_chemical_formula_sum 'La24 Tl8 O8'
_space_group_name_H-M_alt 'C 1 2/c 1'
_space_group_IT_number 15
_space_group_name_Hall '-C 2yc'
_cell_length_a 14.621
_cell_length_b 12.090
_cell_length_c 7.636
_cell_angle_alpha 90.00
_cell_angle_beta 109.64
_cell_angle_gamma 90.00
loop_
_atom_site_label
_atom_site_fract_x
_atom_site_fract_y
_atom_site_fract_z
La1 0.115 0.232 0.133
La2 0.141 0.147 0.639
La3 0.152 0.457 0.525
Tl1 0.000 0.016 0.250
Tl2 0.000 0.361 0.750
O1 0.193 0.401 0.254
```

Entry 2:
LaTlO3 | PBE | optimized geometry

Output
Uncorrected energy in eV/f.u.: -31.9

```
data_LaTlO3
_chemical_formula_sum 'La2 Tl2 O6'
_space_group_name_H-M_alt 'P m m n'
_space_group_IT_number 59
_cell_length_a 3.525
_cell_length_b 5.763
_cell_length_c 7.295
_cell_angle_alpha 90.00
_cell_angle_beta 90.00
_cell_angle_gamma 90.00
loop_
_space_group_symop_operation_xyz
'x,y,z'
'-x,-y,-z'
'-x+1/2,-y+1/2,z'
'x+1/2,y+1/2,-z'
'x+1/2,-y,-z'
'-x+1/2,y,z'
'-x,y+1/2,-z'
'x,-y+1/2,z'
loop_
_atom_site_label
_atom_site_fract_x
_atom_site_fract_y
_atom_site_fract_z
La1 0.250 0.250 0.145
Tl1 0.250 0.750 0.396
O1 0.250 0.516 0.665
O2 0.250 0.750 0.060
```

Among the records above, which one has the lowest uncorrected energy?
LaTlO3

Which of these has the lowest uncorrected energy?
LaTlO3

Which formula does entry 1 have?
La3TlO

Among the records above, which one has the highest uncorrected energy?
La3TlO